Record 1
! NaAgAsAu (PBE-GGA, optimized geometry); values from VASP
&SYSTEM
  ibrav = 0, nat = 4, ntyp = 4
/
ATOMIC_SPECIES
Na 22.99 Na.upf
Ag 107.87 Ag.upf
As 74.92 As.upf
Au 196.97 Au.upf
CELL_PARAMETERS angstrom
0.000 3.364 3.364
3.364 0.000 3.364
3.364 3.364 0.000
ATOMIC_POSITIONS crystal
Na 0.000 0.000 0.000
Ag 0.250 0.250 0.250
As 0.500 0.500 0.500
Au 0.750 0.750 0.750
! - DOS at the Fermi energy: 0.6 states/eV/cell
! - Uncorrected energy: -12.3 eV/cell
! - Symmetry: No. 216

Record 2
! Ni2AgAsAu (PBE-GGA, optimized geometry); values from VASP
&SYSTEM
  ibrav = 0, nat = 5, ntyp = 4
/
ATOMIC_SPECIES
Ni 58.69 Ni.upf
Ag 107.87 Ag.upf
As 74.92 As.upf
Au 196.97 Au.upf
CELL_PARAMETERS angstrom
4.630 0.000 0.000
0.000 4.630 0.000
0.000 0.000 4.987
ATOMIC_POSITIONS crystal
Ni 0.000 0.500 0.000
Ni 0.500 0.000 0.000
Ag 0.000 0.000 0.000
As 0.500 0.500 0.500
Au 0.000 0.000 0.500
! - DOS at the Fermi energy: 7.7 states/eV/cell
! - Uncorrected energy: -15.9 eV/cell
! - Symmetry: No. 123

Record 3
! AgAsAuO2 (PBE-GGA, optimized geometry); values from VASP
&SYSTEM
  ibrav = 0, nat = 5, ntyp = 4
/
ATOMIC_SPECIES
Ag 107.87 Ag.upf
As 74.92 As.upf
Au 196.97 Au.upf
O 16.00 O.upf
CELL_PARAMETERS angstrom
3.946 0.000 0.000
0.000 3.946 0.000
0.000 0.000 5.505
ATOMIC_POSITIONS crystal
Ag 0.000 0.000 0.000
As 0.500 0.500 0.500
Au 0.000 0.000 0.500
O 0.000 0.500 0.000
O 0.500 0.000 0.000
! - DOS at the Fermi energy: 3.9 states/eV/cell
! - Uncorrected energy: -17.5 eV/cell
! - Symmetry: No. 123

Record 4
! AgAsPbAu (PBE-GGA, optimized geometry); values from VASP
&SYSTEM
  ibrav = 0, nat = 4, ntyp = 4
/
ATOMIC_SPECIES
Ag 107.87 Ag.upf
As 74.92 As.upf
Pb 207.20 Pb.upf
Au 196.97 Au.upf
CELL_PARAMETERS angstrom
0.000 3.510 3.510
3.510 0.000 3.510
3.510 3.510 0.000
ATOMIC_POSITIONS crystal
Ag 0.000 0.000 0.000
As 0.750 0.750 0.750
Pb 0.250 0.250 0.250
Au 0.500 0.500 0.500
! - DOS at the Fermi energy: 1.1 states/eV/cell
! - Uncorrected energy: -13.9 eV/cell
! - Symmetry: No. 216

Record 5
! Ag2AsPtAu (PBE-GGA, optimized geometry); values from VASP
&SYSTEM
  ibrav = 0, nat = 5, ntyp = 4
/
ATOMIC_SPECIES
Ag 107.87 Ag.upf
As 74.92 As.upf
Pt 195.08 Pt.upf
Au 196.97 Au.upf
CELL_PARAMETERS angstrom
4.868 0.000 0.000
0.000 4.868 0.000
0.000 0.000 4.643
ATOMIC_POSITIONS crystal
Ag 0.000 0.500 0.000
Ag 0.500 0.000 0.000
As 0.000 0.000 0.000
Pt 0.000 0.000 0.500
Au 0.500 0.500 0.500
! - DOS at the Fermi energy: 1.6 states/eV/cell
! - Uncorrected energy: -17.4 eV/cell
! - Symmetry: No. 123

Record 6
! RbAgAsAu2 (PBE-GGA, optimized geometry); values from VASP
&SYSTEM
  ibrav = 0, nat = 5, ntyp = 4
/
ATOMIC_SPECIES
Rb 85.47 Rb.upf
Ag 107.87 Ag.upf
As 74.92 As.upf
Au 196.97 Au.upf
CELL_PARAMETERS angstrom
5.170 0.000 0.000
0.000 5.170 0.000
0.000 0.000 5.165
ATOMIC_POSITIONS crystal
Rb 0.000 0.000 0.000
Ag 0.500 0.500 0.000
As 0.500 0.500 0.500
Au 0.000 0.500 0.500
Au 0.500 0.000 0.500
! - DOS at the Fermi energy: 1.3 states/eV/cell
! - Uncorrected energy: -15.4 eV/cell
! - Symmetry: No. 123

Record 7
! AgAsRh2Au (PBE-GGA, optimized geometry); values from VASP
&SYSTEM
  ibrav = 0, nat = 5, ntyp = 4
/
ATOMIC_SPECIES
Ag 107.87 Ag.upf
As 74.92 As.upf
Rh 102.91 Rh.upf
Au 196.97 Au.upf
CELL_PARAMETERS angstrom
5.029 0.000 0.000
0.000 5.029 0.000
0.000 0.000 4.695
ATOMIC_POSITIONS crystal
Ag 0.000 0.000 0.000
As 0.500 0.500 0.000
Rh 0.000 0.500 0.500
Rh 0.500 0.000 0.500
Au 0.500 0.500 0.500
! - DOS at the Fermi energy: 7.7 states/eV/cell
! - Uncorrected energy: -18.7 eV/cell
! - Symmetry: No. 123

Record 8
! AgAsAuSe2 (PBE-GGA, optimized geometry); values from VASP
&SYSTEM
  ibrav = 0, nat = 5, ntyp = 4
/
ATOMIC_SPECIES
Ag 107.87 Ag.upf
As 74.92 As.upf
Au 196.97 Au.upf
Se 78.96 Se.upf
CELL_PARAMETERS angstrom
5.261 0.000 0.000
0.000 5.261 0.000
0.000 0.000 4.843
ATOMIC_POSITIONS crystal
Ag 0.000 0.000 0.000
As 0.500 0.500 0.000
Au 0.500 0.500 0.500
Se 0.000 0.500 0.500
Se 0.500 0.000 0.500
! - Distance to the lowest polymorph of the same formula: 0.0 meV/atom
! - DOS at the Fermi energy: 4.0 states/eV/cell
! - Uncorrected energy: -14.1 eV/cell
! - Symmetry: No. 123

Record 9
! AgTeAs2Au (PBE-GGA, optimized geometry); values from VASP
&SYSTEM
  ibrav = 0, nat = 5, ntyp = 4
/
ATOMIC_SPECIES
Ag 107.87 Ag.upf
Te 127.60 Te.upf
As 74.92 As.upf
Au 196.97 Au.upf
CELL_PARAMETERS angstrom
4.927 0.000 0.000
0.000 4.927 0.000
0.000 0.000 5.557
ATOMIC_POSITIONS crystal
Ag 0.000 0.000 0.000
Te 0.000 0.000 0.500
As 0.000 0.500 0.000
As 0.500 0.000 0.000
Au 0.500 0.500 0.500
! - DOS at the Fermi energy: 4.9 states/eV/cell
! - Uncorrected energy: -13.8 eV/cell
! - Symmetry: No. 123

Record 10
! Ag2Te4AsAu (PBE-GGA, optimized geometry); values from VASP
&SYSTEM
  ibrav = 0, nat = 8, ntyp = 4
/
ATOMIC_SPECIES
Ag 107.87 Ag.upf
Te 127.60 Te.upf
As 74.92 As.upf
Au 196.97 Au.upf
CELL_PARAMETERS angstrom
7.366 0.000 0.000
0.000 4.129 0.000
-2.669 0.000 6.895
ATOMIC_POSITIONS crystal
Ag 0.000 0.000 0.000
Ag 0.500 0.500 0.000
Te 0.222 0.000 0.775
Te 0.276 0.500 0.290
Te 0.724 0.500 0.710
Te 0.778 0.000 0.225
As 0.000 0.500 0.500
Au 0.500 0.000 0.500
! - DOS at the Fermi energy: 1.9 states/eV/cell
! - Uncorrected energy: -26.4 eV/cell
! - Symmetry: No. 10

Record 11
! Ag2BAs (PBE-GGA, optimized geometry); values from VASP
&SYSTEM
  ibrav = 0, nat = 4, ntyp = 3
/
ATOMIC_SPECIES
Ag 107.87 Ag.upf
B 10.81 B.upf
As 74.92 As.upf
CELL_PARAMETERS angstrom
0.000 3.192 3.192
3.192 0.000 3.192
3.192 3.192 0.000
ATOMIC_POSITIONS crystal
Ag 0.250 0.250 0.250
Ag 0.750 0.750 0.750
B 0.000 0.000 0.000
As 0.500 0.500 0.500
! - Distance to the lowest polymorph of the same formula: 75.9 meV/atom
! - DOS at the Fermi energy: 1.3 states/eV/cell
! - Uncorrected energy: -13.3 eV/cell
! - Symmetry: No. 225

Record 12
! AgBAs (PBE-GGA, optimized geometry); values from VASP
&SYSTEM
  ibrav = 0, nat = 6, ntyp = 3
/
ATOMIC_SPECIES
Ag 107.87 Ag.upf
B 10.81 B.upf
As 74.92 As.upf
CELL_PARAMETERS angstrom
3.416 0.000 0.000
-0.030 4.872 0.000
-1.695 -1.184 5.852
ATOMIC_POSITIONS crystal
Ag 0.000 0.000 0.000
Ag 0.228 0.341 0.458
B 0.054 0.555 0.103
B 0.180 0.786 0.355
As 0.459 0.451 0.915
As 0.774 0.890 0.543
! - DOS at the Fermi energy: 1.7 states/eV/cell
! - Uncorrected energy: -26.6 eV/cell
! - Symmetry: No. 1

Record 13
! AgBAs2 (PBE-GGA, optimized geometry); values from VASP
&SYSTEM
  ibrav = 0, nat = 8, ntyp = 3
/
ATOMIC_SPECIES
Ag 107.87 Ag.upf
B 10.81 B.upf
As 74.92 As.upf
CELL_PARAMETERS angstrom
-2.813 2.813 4.727
2.813 -2.813 4.727
2.813 2.813 -4.727
ATOMIC_POSITIONS crystal
Ag 0.000 0.000 0.000
Ag 0.750 0.250 0.500
B 0.250 0.750 0.500
B 0.500 0.500 0.000
As 0.196 0.625 0.071
As 0.375 0.446 0.571
As 0.554 0.125 0.929
As 0.875 0.804 0.429
! - DOS at the Fermi energy: 1.2 states/eV/cell
! - Uncorrected energy: -35.4 eV/cell
! - Symmetry: No. 122

Record 14
! Ag2BAs (PBE-GGA, optimized geometry); values from VASP
&SYSTEM
  ibrav = 0, nat = 8, ntyp = 3
/
ATOMIC_SPECIES
Ag 107.87 Ag.upf
B 10.81 B.upf
As 74.92 As.upf
CELL_PARAMETERS angstrom
-2.097 2.097 7.906
2.097 -2.097 7.906
2.097 2.097 -7.906
ATOMIC_POSITIONS crystal
Ag 0.083 0.625 0.958
Ag 0.375 0.333 0.458
Ag 0.667 0.125 0.042
Ag 0.875 0.917 0.542
B 0.000 0.000 0.000
B 0.750 0.250 0.500
As 0.250 0.750 0.500
As 0.500 0.500 0.000
! - Distance to the lowest polymorph of the same formula: 0.0 meV/atom
! - DOS at the Fermi energy: 3.6 states/eV/cell
! - Uncorrected energy: -27.1 eV/cell
! - Symmetry: No. 122

Record 15
! AgB2As (PBE-GGA, optimized geometry); values from VASP
&SYSTEM
  ibrav = 0, nat = 8, ntyp = 3
/
ATOMIC_SPECIES
Ag 107.87 Ag.upf
B 10.81 B.upf
As 74.92 As.upf
CELL_PARAMETERS angstrom
-2.589 2.589 4.448
2.589 -2.589 4.448
2.589 2.589 -4.448
ATOMIC_POSITIONS crystal
Ag 0.000 0.000 0.000
Ag 0.750 0.250 0.500
B 0.156 0.625 0.031
B 0.375 0.406 0.531
B 0.594 0.125 0.969
B 0.875 0.844 0.469
As 0.250 0.750 0.500
As 0.500 0.500 0.000
! - DOS at the Fermi energy: 2.3 states/eV/cell
! - Uncorrected energy: -35.0 eV/cell
! - Symmetry: No. 122

Record 16
! AgBAs2Br (PBE-GGA, optimized geometry); values from VASP
&SYSTEM
  ibrav = 0, nat = 5, ntyp = 4
/
ATOMIC_SPECIES
Ag 107.87 Ag.upf
B 10.81 B.upf
As 74.92 As.upf
Br 79.90 Br.upf
CELL_PARAMETERS angstrom
4.132 0.000 0.000
0.000 4.132 0.000
0.000 0.000 8.027
ATOMIC_POSITIONS crystal
Ag 0.000 0.000 0.000
B 0.500 0.500 0.500
As 0.000 0.500 0.500
As 0.500 0.000 0.500
Br 0.500 0.500 0.000
! - Distance to the lowest polymorph of the same formula: 0.0 meV/atom
! - DOS at the Fermi energy: 3.5 states/eV/cell
! - Uncorrected energy: -17.0 eV/cell
! - Symmetry: No. 123

Record 17
! AgBAs2Br (PBE-GGA, optimized geometry); values from VASP
&SYSTEM
  ibrav = 0, nat = 5, ntyp = 4
/
ATOMIC_SPECIES
Ag 107.87 Ag.upf
B 10.81 B.upf
As 74.92 As.upf
Br 79.90 Br.upf
CELL_PARAMETERS angstrom
5.218 0.000 0.000
0.000 5.218 0.000
0.000 0.000 5.035
ATOMIC_POSITIONS crystal
Ag 0.000 0.000 0.000
B 0.500 0.500 0.000
As 0.000 0.500 0.500
As 0.500 0.000 0.500
Br 0.000 0.000 0.500
! - Distance to the lowest polymorph of the same formula: 1190.8 meV/atom
! - DOS at the Fermi energy: 3.4 states/eV/cell
! - Uncorrected energy: -11.0 eV/cell
! - Symmetry: No. 123

Record 18
! CdAgB2As (PBE-GGA, optimized geometry); values from VASP
&SYSTEM
  ibrav = 0, nat = 5, ntyp = 4
/
ATOMIC_SPECIES
Cd 112.41 Cd.upf
Ag 107.87 Ag.upf
B 10.81 B.upf
As 74.92 As.upf
CELL_PARAMETERS angstrom
4.107 0.000 0.000
0.000 4.107 0.000
0.000 0.000 5.694
ATOMIC_POSITIONS crystal
Cd 0.000 0.000 0.000
Ag 0.000 0.000 0.500
B 0.000 0.500 0.500
B 0.500 0.000 0.500
As 0.500 0.500 0.000
! - Distance to the lowest polymorph of the same formula: 0.0 meV/atom
! - DOS at the Fermi energy: 2.1 states/eV/cell
! - Uncorrected energy: -14.7 eV/cell
! - Symmetry: No. 123

Record 19
! CdAgB2As (PBE-GGA, optimized geometry); values from VASP
&SYSTEM
  ibrav = 0, nat = 5, ntyp = 4
/
ATOMIC_SPECIES
Cd 112.41 Cd.upf
Ag 107.87 Ag.upf
B 10.81 B.upf
As 74.92 As.upf
CELL_PARAMETERS angstrom
4.128 0.000 0.000
0.000 4.128 0.000
0.000 0.000 5.513
ATOMIC_POSITIONS crystal
Cd 0.000 0.000 0.000
Ag 0.500 0.500 0.000
B 0.000 0.500 0.500
B 0.500 0.000 0.500
As 0.000 0.000 0.500
! - Distance to the lowest polymorph of the same formula: 4.1 meV/atom
! - DOS at the Fermi energy: 2.3 states/eV/cell
! - Uncorrected energy: -14.7 eV/cell
! - Symmetry: No. 123

Record 20
! Cd2AgBAs (PBE-GGA, optimized geometry); values from VASP
&SYSTEM
  ibrav = 0, nat = 5, ntyp = 4
/
ATOMIC_SPECIES
Cd 112.41 Cd.upf
Ag 107.87 Ag.upf
B 10.81 B.upf
As 74.92 As.upf
CELL_PARAMETERS angstrom
4.700 0.000 0.000
0.000 4.700 0.000
0.000 0.000 4.390
ATOMIC_POSITIONS crystal
Cd 0.000 0.500 0.000
Cd 0.500 0.000 0.000
Ag 0.000 0.000 0.500
B 0.500 0.500 0.000
As 0.500 0.500 0.500
! - DOS at the Fermi energy: 2.1 states/eV/cell
! - Uncorrected energy: -12.9 eV/cell
! - Symmetry: No. 123